Record 1
Computed, not measured: Li2TbSm2Ga2 after structural relaxation at the PBE level of DFT.

Cell: 4.6298 4.6298 9.2771 Å, 75.55 75.55 60.00°
Element x y z (fractional)
1 Sm 0.1255 0.1255 0.6235
2 Sm 0.8745 0.8745 0.3765
3 Tb 0.0000 0.0000 0.0000
4 Ga 0.7355 0.7355 0.7934
5 Ga 0.2645 0.2645 0.2066
6 Li 0.3923 0.3923 0.8230
7 Li 0.6077 0.6077 0.1770

Symmetry: R-3m


Record 2
Computed, not measured: LiTbSmGa after structural relaxation at the PBE level of DFT.

Cell: 5.1591 5.1591 5.1591 Å, 60.00 60.00 60.00°
Element x y z (fractional)
1 Li 0.7500 0.7500 0.7500
2 Sm 0.5000 0.5000 0.5000
3 Tb 0.0000 0.0000 0.0000
4 Ga 0.2500 0.2500 0.2500

Symmetry: F-43m


Record 3
Computed, not measured: Li2Sm2TmGa2 after structural relaxation at the PBE level of DFT.

Cell: 4.5920 4.5920 9.3048 Å, 75.71 75.71 60.00°
Element x y z (fractional)
1 Ga 0.7337 0.7337 0.7990
2 Ga 0.2663 0.2663 0.2010
3 Sm 0.8753 0.8753 0.3740
4 Sm 0.1247 0.1247 0.6260
5 Li 0.6104 0.6104 0.1689
6 Li 0.3896 0.3896 0.8311
7 Tm 0.0000 0.0000 0.0000

Symmetry: R-3m


Record 4
Computed, not measured: Li2Sm2YGa2 after structural relaxation at the PBE level of DFT.

Cell: 4.6162 4.6162 9.3313 Å, 75.68 75.68 60.00°
Element x y z (fractional)
1 Li 0.6077 0.6077 0.1770
2 Li 0.3923 0.3923 0.8230
3 Y 0.0000 0.0000 0.0000
4 Sm 0.1255 0.1255 0.6234
5 Sm 0.8745 0.8745 0.3766
6 Ga 0.7353 0.7353 0.7940
7 Ga 0.2647 0.2647 0.2060

Symmetry: R-3m


Record 5
Computed, not measured: LiSmZnGa2 after structural relaxation at the PBE level of DFT.

Cell: 4.2271 4.2271 6.1381 Å, 110.14 110.14 90.00°
Element x y z (fractional)
1 Li 0.7500 0.2500 0.5000
2 Ga 0.3850 0.3850 0.7700
3 Ga 0.6150 0.6150 0.2300
4 Zn 0.2500 0.7500 0.5000
5 Sm 0.0000 0.0000 0.0000

Symmetry: I-4m2


Record 6
Computed, not measured: LiSmZn2Ga2 after structural relaxation at the PBE level of DFT.

Cell: 4.3305 4.3305 6.8408 Å, 90.00 90.00 120.00°
Element x y z (fractional)
1 Ga 0.3333 0.6667 0.7183
2 Ga 0.6667 0.3333 0.2817
3 Zn 0.6667 0.3333 0.6924
4 Zn 0.3333 0.6667 0.3076
5 Sm 0.0000 0.0000 0.0000
6 Li 0.0000 0.0000 0.5000

Symmetry: P-3m1


Record 7
Computed, not measured: LiSmZn2Ga4 after structural relaxation at the PBE level of DFT.

Cell: 4.4167 4.4167 8.9722 Å, 75.75 75.75 60.00°
Element x y z (fractional)
1 Ga 0.6037 0.6037 0.1890
2 Ga 0.1305 0.1305 0.6086
3 Ga 0.8695 0.8695 0.3914
4 Ga 0.3963 0.3963 0.8110
5 Zn 0.2431 0.2431 0.2707
6 Zn 0.7569 0.7569 0.7293
7 Li 0.5000 0.5000 0.5000
8 Sm 0.0000 0.0000 0.0000

Symmetry: R-3m


Record 8
Computed, not measured: LiGaSn2 after structural relaxation at the PBE level of DFT.

Cell: 8.8340 8.8340 6.7838 Å, 49.37 49.37 90.00°
Element x y z (fractional)
1 Sn 0.0409 0.6250 0.2500
2 Sn 0.7091 0.1250 0.2500
3 Sn 0.8750 0.9591 0.7500
4 Sn 0.3750 0.2909 0.7500
5 Ga 0.7500 0.2500 0.5000
6 Ga 0.0000 0.0000 0.0000
7 Li 0.2500 0.7500 0.5000
8 Li 0.5000 0.5000 0.0000

Symmetry: I-42d


no.,total magnetization (μB/f.u.),formation energy (eV per atom),V (Å³ per cell)
1,0.001,-0.283,164.9
2,0.000,-0.306,97.1
3,0.001,-0.277,162.9
4,0.000,-0.290,165.0
5,0.000,-0.451,95.8
6,0.000,-0.428,111.1
7,0.000,-0.278,145.3
8,0.000,-0.036,206.5